# PAuS2, relaxed, DFT PBE
# * total magnetic moment: 0.0 Bohr magnetons per cell
# * density: 5.10 g/cm3
# * ΔE_f (raw): 0.200 eV/atom
# * DFT total energy: -16.1 eV for the cell shown
data_PAuS2
_space_group_name_H-M_alt 'P 1'
_space_group_IT_number 1
_cell_length_a 4.262
_cell_length_b 4.458
_cell_length_c 5.128
_cell_angle_alpha 99.70
_cell_angle_beta 92.28
_cell_angle_gamma 97.23
loop_
_space_group_symop_operation_xyz
'x,y,z'
loop_
_atom_site_label
_atom_site_fract_x
_atom_site_fract_y
_atom_site_fract_z
P1 0.000 0.000 0.000
Au1 0.996 0.536 0.188
S1 0.541 0.601 0.463
S2 0.622 0.005 0.742